[1]
DFT (PBE) results for a geometry-optimized Rb2Hg2Pb structure.

Output
The calculation puts the energy above the lowest structure with this stoichiometry at 61 meV per atom. Its magnetic moment is 0.0 Bohr magnetons per cell.

Cell: 8.206 8.206 5.818 Å, 90.00 90.00 90.00°
Space group P4/mbm (No. 127)
Inequivalent atoms, fractional coordinates:
Rb (0.177, 0.323, 0.000) [4 per cell]
Hg (0.136, 0.636, 0.500) [4 per cell]
Pb (0.000, 0.000, 0.500) [2 per cell]



[2]
DFT (PBE) results for a geometry-optimized RbHgPb2 structure.

Output
Its magnetic moment is 0.0 Bohr magnetons per cell.

Cell: 9.522 4.643 14.055 Å, 90.00 90.00 90.00°
Space group Pnma (No. 62)
Inequivalent atoms, fractional coordinates:
Rb (0.144, 0.250, 0.136) [4 per cell]
Hg (0.165, 0.250, 0.872) [4 per cell]
Pb (0.026, 0.250, 0.667) [4 per cell]
Pb (0.127, 0.250, 0.450) [4 per cell]



[3]
DFT (PBE) results for a geometry-optimized RbHgPb3 structure.

Output
The calculation puts the energy above the lowest structure with this stoichiometry at 1146 meV per atom. Its magnetic moment is 0.0 Bohr magnetons per cell.

Cell: 6.323 6.323 6.323 Å, 90.00 90.00 90.00°
Space group Pm-3m (No. 221)
Inequivalent atoms, fractional coordinates:
Rb (0.000, 0.000, 0.000) [1 per cell]
Hg (0.500, 0.500, 0.500) [1 per cell]
Pb (0.000, 0.000, 0.500) [3 per cell]



[4]
DFT (PBE) results for a geometry-optimized Rb2Hg7Pb12 structure.

Output
Its magnetic moment is 0.0 Bohr magnetons per cell.

Cell: 12.9173 12.9173 4.7112 Å, 90.00 90.00 120.00°
Space group P-3 (No. 147)
Inequivalent atoms, fractional coordinates:
Rb (0.3333, 0.6667, 0.2458) [2 per cell]
Hg (0.0000, 0.0000, 0.5000) [1 per cell]
Hg (0.1236, 0.4239, 0.7428) [6 per cell]
Pb (0.0605, 0.6325, 0.7477) [6 per cell]
Pb (0.1149, 0.8586, 0.2400) [6 per cell]



[5]
DFT (PBE) results for a geometry-optimized RbHg3Pb structure.

Output
The calculation puts the energy above the lowest structure with this stoichiometry at 99 meV per atom. Its magnetic moment is 0.0 Bohr magnetons per cell.

Cell: 6.004 6.004 6.004 Å, 90.00 90.00 90.00°
Space group Pm-3m (No. 221)
Inequivalent atoms, fractional coordinates:
Rb (0.000, 0.000, 0.000) [1 per cell]
Hg (0.000, 0.500, 0.500) [3 per cell]
Pb (0.500, 0.500, 0.500) [1 per cell]



[6]
DFT (PBE) results for a geometry-optimized Rb3Hg8Pb3 structure.

Output
Its magnetic moment is 0.0 Bohr magnetons per cell.

Cell: 5.544 10.401 16.267 Å, 90.00 90.00 90.00°
Space group Immm (No. 71)
Inequivalent atoms, fractional coordinates:
Rb (0.000, 0.000, 0.000) [2 per cell]
Rb (0.000, 0.000, 0.284) [4 per cell]
Hg (0.000, 0.293, 0.149) [8 per cell]
Hg (0.000, 0.354, 0.345) [8 per cell]
Pb (0.000, 0.170, 0.500) [4 per cell]
Pb (0.000, 0.500, 0.000) [2 per cell]



[7]
DFT (PBE) results for a geometry-optimized RbHg2Pb structure.

Output
Its magnetic moment is 0.0 Bohr magnetons per cell.

Cell: 6.066 6.066 3.594 Å, 90.00 90.00 90.00°
Space group P4/mmm (No. 123)
Inequivalent atoms, fractional coordinates:
Rb (0.000, 0.000, 0.000) [1 per cell]
Hg (0.000, 0.500, 0.500) [2 per cell]
Pb (0.500, 0.500, 0.000) [1 per cell]



[8]
DFT (PBE) results for a geometry-optimized Rb2Hg2Pb structure.

Output
The calculation puts the energy above the lowest structure with this stoichiometry at 155 meV per atom. Its magnetic moment is 0.7 Bohr magnetons per cell.

Cell: 4.388 4.388 22.120 Å, 90.00 90.00 90.00°
Space group I4/mmm (No. 139)
Inequivalent atoms, fractional coordinates:
Rb (0.000, 0.000, 0.109) [4 per cell]
Hg (0.000, 0.500, 0.250) [4 per cell]
Pb (0.000, 0.000, 0.500) [2 per cell]



[9]
DFT (PBE) results for a geometry-optimized Rb2Hg7Pb structure.

Output
Its magnetic moment is 0.0 Bohr magnetons per cell.

Cell: 5.336 5.336 12.026 Å, 90.00 90.00 90.00°
Space group P-4m2 (No. 115)
Inequivalent atoms, fractional coordinates:
Rb (0.000, 0.500, 0.247) [2 per cell]
Hg (0.000, 0.000, 0.000) [1 per cell]
Hg (0.000, 0.500, 0.625) [2 per cell]
Hg (0.000, 0.500, 0.870) [2 per cell]
Hg (0.500, 0.500, 0.000) [1 per cell]
Hg (0.500, 0.500, 0.500) [1 per cell]
Pb (0.000, 0.000, 0.500) [1 per cell]



[10]
DFT (PBE) results for a geometry-optimized RbHg2Pb2 structure.

Output
The calculation puts the energy above the lowest structure with this stoichiometry at 44 meV per atom. Its magnetic moment is 0.0 Bohr magnetons per cell.

Cell: 6.810 7.874 8.086 Å, 111.99 108.14 98.88°
Space group P-1 (No. 2)
Inequivalent atoms, fractional coordinates:
Rb (0.198, 0.377, 0.226) [2 per cell]
Hg (0.267, 0.947, 0.324) [2 per cell]
Hg (0.378, 0.660, 0.982) [2 per cell]
Pb (0.147, 0.248, 0.659) [2 per cell]
Pb (0.334, 0.916, 0.748) [2 per cell]



[11]
DFT (PBE) results for a geometry-optimized Rb2HgPb structure.

Output
Its magnetic moment is 0.0 Bohr magnetons per cell.

Cell: 12.651 6.483 5.339 Å, 90.00 114.78 90.00°
Space group C2 (No. 5)
Inequivalent atoms, fractional coordinates:
Rb (0.180, 0.000, 0.180) [4 per cell]
Hg (0.000, 0.485, 0.000) [2 per cell]
Pb (0.000, 0.656, 0.500) [2 per cell]



[12]
DFT (PBE) results for a geometry-optimized RbHg3Pb structure.

Output
The calculation puts the energy above the lowest structure with this stoichiometry at 17 meV per atom. Its magnetic moment is 0.0 Bohr magnetons per cell.

Cell: 3.844 32.567 5.140 Å, 90.00 90.00 90.00°
Space group Cmcm (No. 63)
Inequivalent atoms, fractional coordinates:
Rb (0.000, 0.079, 0.250) [4 per cell]
Hg (0.000, 0.319, 0.750) [4 per cell]
Hg (0.000, 0.370, 0.250) [4 per cell]
Hg (0.000, 0.474, 0.250) [4 per cell]
Pb (0.000, 0.222, 0.750) [4 per cell]



Energy of formation, record by record: -0.158 -0.109 1.031 -0.042 -0.046 -0.176 -0.061 -0.064 -0.169 -0.103 -0.122 -0.128 eV/atom